4
Lattice="3.6670 0.0000 0.0000 0.0000 3.6670 0.0000 0.0000 0.0000 3.5799" Properties=species:S:1:pos:R:3 comment="Co2MoRh SCAN single point on PBEsol structure" spacegroup="No. 123" e_form_ev_per_atom=0.07 polymorph_energy_mev_per_atom=61 crystal_system=tetragonal pbc="T T T"
Co 0.0000 1.8335 0.0000
Co 1.8335 0.0000 0.0000
Mo 0.0000 0.0000 1.7900
Rh 1.8335 1.8335 1.7900

---

4
Lattice="3.4864 0.0000 0.0000 0.0000 3.4864 0.0000 0.0000 0.0000 4.0713" Properties=species:S:1:pos:R:3 comment="LiTc2Ni SCAN single point on PBEsol structure" spacegroup="No. 123" e_form_ev_per_atom=0.19 polymorph_energy_mev_per_atom=46 crystal_system=tetragonal pbc="T T T"
Li 0.0000 0.0000 0.0000
Tc 0.0000 1.7432 2.0356
Tc 1.7432 0.0000 2.0356
Ni 1.7432 1.7432 0.0000

---

5
Lattice="4.6828 0.0000 0.0000 0.0000 4.6828 0.0000 0.0000 0.0000 4.7596" Properties=species:S:1:pos:R:3 comment="ZnGa2OsAu SCAN single point on PBEsol structure" spacegroup="No. 123" e_form_ev_per_atom=0.43 crystal_system=tetragonal pbc="T T T"
Zn 0.0000 0.0000 0.0000
Ga 0.0000 2.3414 2.3798
Ga 2.3414 0.0000 2.3798
Os 0.0000 0.0000 2.3798
Au 2.3414 2.3414 0.0000

---

8
Lattice="4.1684 0.0000 0.0000 0.0000 5.1023 0.0000 0.0000 0.0000 4.3731" Properties=species:S:1:pos:R:3 comment="TiCuNi2 SCAN single point on PBEsol structure" spacegroup="No. 59" e_form_ev_per_atom=-0.35 crystal_system=orthorhombic pbc="T T T"
Ti 1.0421 1.2756 0.7321
Ti 3.1263 3.8267 3.6410
Cu 1.0421 3.8267 0.8272
Cu 3.1263 1.2756 3.5459
Ni 1.0421 0.0051 2.9392
Ni 1.0421 2.5461 2.9392
Ni 3.1263 2.5562 1.4338
Ni 3.1263 5.0972 1.4338

---

8
Lattice="-1.9158 1.9158 7.6989 1.9158 -1.9158 7.6989 1.9158 1.9158 -7.6989" Properties=species:S:1:pos:R:3 comment="ReIr3 SCAN single point on PBEsol structure" spacegroup="No. 139" e_form_ev_per_atom=-0.14 polymorph_energy_mev_per_atom=14 crystal_system=tetragonal pbc="T T T"
Re 0.0000 0.0000 1.9716
Re 0.0000 0.0000 13.4261
Ir 1.9158 0.0000 0.0000
Ir 1.9158 0.0000 3.8494
Ir 0.0000 0.0000 5.8289
Ir 0.0000 1.9158 0.0000
Ir 0.0000 0.0000 9.5688
Ir 0.0000 1.9158 3.8494

---

4
Lattice="-1.8755 1.8755 3.7236 1.8755 -1.8755 3.7236 1.8755 1.8755 -3.7236" Properties=species:S:1:pos:R:3 comment="MnTc2Ru SCAN single point on PBEsol structure" spacegroup="No. 119" e_form_ev_per_atom=0.00 polymorph_energy_mev_per_atom=0 crystal_system=tetragonal pbc="T T T"
Mn 0.0000 0.0000 0.0000
Tc 1.8755 0.0000 1.8618
Tc 0.0000 0.0000 3.7236
Ru 0.0000 1.8755 1.8618

---

14
Lattice="-3.7490 4.7397 2.4908 3.7490 -4.7397 2.4908 3.7490 4.7397 -2.4908" Properties=species:S:1:pos:R:3 comment="Y2MnC4 SCAN single point on PBEsol structure" spacegroup="No. 72" e_form_ev_per_atom=-0.37 crystal_system=orthorhombic pbc="T T T"
Y 1.1741 1.3736 0.0000
Y 1.1741 -1.3736 2.4908
Y 2.5749 6.1134 0.0000
Y 2.5749 3.3661 2.4908
Mn 3.7490 0.0000 1.2454
Mn 0.0000 4.7397 1.2454
C 5.0192 0.7507 0.0000
C 6.3113 1.2184 0.0000
C 2.5623 3.5213 0.0000
C 1.2702 3.9891 0.0000
C 2.4787 0.7507 2.4908
C 1.1867 1.2184 2.4908
C -2.5623 3.5213 2.4908
C -1.2702 3.9891 2.4908

---

3
Lattice="0.0000 3.1918 3.1918 3.1918 0.0000 3.1918 3.1918 3.1918 0.0000" Properties=species:S:1:pos:R:3 comment="MgInRe SCAN single point on PBEsol structure" spacegroup="No. 216" e_form_ev_per_atom=0.84 crystal_system=cubic pbc="T T T"
Mg 0.0000 0.0000 0.0000
In 3.1918 3.1918 3.1918
Re 1.5959 1.5959 1.5959

---

5
Lattice="6.0446 0.0000 0.0000 0.0000 6.0446 0.0000 0.0000 0.0000 5.9338" Properties=species:S:1:pos:R:3 comment="RbCoSeBr2 SCAN single point on PBEsol structure" spacegroup="No. 123" crystal_system=tetragonal formation_energy_uncorrected_ev_per_atom=0.765 pbc="T T T"
Rb 0.0000 0.0000 0.0000
Co 3.0223 3.0223 2.9669
Se 0.0000 0.0000 2.9669
Br 0.0000 3.0223 0.0000
Br 3.0223 0.0000 0.0000

---

16
Lattice="4.7985 0.0000 0.0000 0.0000 9.2769 0.0000 0.0000 0.0000 5.5666" Properties=species:S:1:pos:R:3 comment="Pt3Au SCAN single point on PBEsol structure" spacegroup="No. 62" e_form_ev_per_atom=0.13 crystal_system=orthorhombic pbc="T T T"
Pt 0.4575 2.3192 0.7317
Pt 1.1814 4.6608 4.8772
Pt 1.1814 9.2545 4.8772
Pt 1.2179 0.0224 2.0939
Pt 1.2179 4.6161 2.0939
Pt 1.9417 6.9577 3.5149
Pt 2.8568 2.3192 2.0516
Pt 3.5806 4.6608 3.4727
Pt 3.5806 9.2545 3.4727
Pt 3.6171 0.0224 0.6894
Pt 3.6171 4.6161 0.6894
Pt 4.3410 6.9577 4.8349
Au 0.4245 2.3192 3.4936
Au 1.9747 6.9577 0.7103
Au 2.8238 2.3192 4.8562
Au 4.3740 6.9577 2.0729

---

6
Lattice="0.0000 3.3835 3.3835 3.3835 0.0000 3.3835 3.3835 3.3835 0.0000" Properties=species:S:1:pos:R:3 comment="CdCu4Rh SCAN single point on PBEsol structure" spacegroup="No. 216" e_form_ev_per_atom=0.03 crystal_system=cubic pbc="T T T"
Cd 0.0000 0.0000 0.0000
Cu 2.5400 2.5400 2.5400
Cu 4.2269 4.2269 2.5400
Cu 4.2269 2.5400 4.2269
Cu 2.5400 4.2269 4.2269
Rh 5.0752 5.0752 5.0752

---

5
Lattice="4.5346 0.0000 0.0000 0.0000 4.5346 0.0000 0.0000 0.0000 4.5663" Properties=species:S:1:pos:R:3 comment="CdNi2PRu SCAN single point on PBEsol structure" spacegroup="No. 123" e_form_ev_per_atom=1.84 crystal_system=tetragonal pbc="T T T"
Cd 0.0000 0.0000 0.0000
Ni 0.0000 2.2673 0.0000
Ni 2.2673 0.0000 0.0000
P 0.0000 0.0000 2.2832
Ru 2.2673 2.2673 2.2832